# NpZn12, relaxed, DFT PBE-GGA
data_NpZn12
_chemical_formula_sum 'Np2 Zn24'
_symmetry_space_group_name_H-M 'I 4/m m m'
_symmetry_Int_Tables_number 139
_symmetry_space_group_name_Hall '-I 4 2'
_cell_length_a 8.868
_cell_length_b 8.868
_cell_length_c 5.254
_cell_angle_alpha 90.00
_cell_angle_beta 90.00
_cell_angle_gamma 90.00
loop_
_atom_site_label
_atom_site_fract_x
_atom_site_fract_y
_atom_site_fract_z
_atom_site_occupancy
Np1 0.000 0.000 0.000 1
Zn1 0.000 0.216 0.500 1
Zn2 0.000 0.353 0.000 1
Zn3 0.250 0.250 0.250 1
# Size of the total moment (μB per formula unit): 4.19
# DFT total energy (eV/atom): -2.2138
# ΔE_f (eV per atom): -0.0424
# Density of states at the Fermi level (states/eV per cell): 23.15